No. 1
Computed, not measured: BaScMnCu2 after structural relaxation at the PBE-GGA level of DFT.

**Electronic total energy**: -0.2138 Ry per atom
**DOS(E_F)**: 10.19 states/eV/f.u.
**E_form**: 2.2140 eV/atom

```
data_BaScMnCu2
_chemical_formula_sum 'Ba1 Sc1 Mn1 Cu2'
_cell_length_a 5.1451
_cell_length_b 5.1451
_cell_length_c 5.5779
_cell_angle_alpha 90.00
_cell_angle_beta 90.00
_cell_angle_gamma 90.00
_space_group_name_H-M_alt 'P 4/m m m'
_space_group_IT_number 123
_space_group_name_Hall '-P 4 2'
loop_
_atom_site_label
_atom_site_type_symbol
_atom_site_fract_x
_atom_site_fract_y
_atom_site_fract_z
Ba1 Ba 0.0000 0.0000 0.0000
Sc1 Sc 0.0000 0.0000 0.5000
Mn1 Mn 0.5000 0.5000 0.5000
Cu1 Cu 0.0000 0.5000 0.0000
```



No. 2
Computed, not measured: Li7CdCu2 after structural relaxation at the PBE-GGA level of DFT.

**Electronic total energy**: -0.1538 Ry per atom
**DOS(E_F)**: 3.66 states/eV/f.u.
**E_form**: 0.1575 eV/atom

```
data_Li7CdCu2
_chemical_formula_sum 'Li14 Cd2 Cu4'
_cell_length_a 7.5284
_cell_length_b 12.4948
_cell_length_c 4.5307
_cell_angle_alpha 90.00
_cell_angle_beta 90.00
_cell_angle_gamma 90.00
_space_group_name_H-M_alt 'C m m m'
_space_group_IT_number 65
_space_group_name_Hall '-C 2 2'
loop_
_atom_site_label
_atom_site_type_symbol
_atom_site_fract_x
_atom_site_fract_y
_atom_site_fract_z
Li1 Li 0.0000 0.0000 0.0000
Li2 Li 0.0000 0.2536 0.5000
Li3 Li 0.1828 0.3747 0.0000
Cd1 Cd 0.0000 0.5000 0.5000
Cu1 Cu 0.0000 0.1981 0.0000
```



No. 3
Computed, not measured: KRb2F after structural relaxation at the PBE-GGA level of DFT.

**Electronic total energy**: -0.1840 Ry per atom
**Uncorrected formation energy**: -1277 meV per atom
**DOS(E_F)**: 2.19 states/eV/f.u.

```
data_KRb2F
_chemical_formula_sum 'K4 Rb8 F4'
_cell_length_a 8.7653
_cell_length_b 8.7653
_cell_length_c 12.4662
_cell_angle_alpha 90.00
_cell_angle_beta 90.00
_cell_angle_gamma 90.00
_space_group_name_H-M_alt 'I -4 2 d'
_space_group_IT_number 122
_space_group_name_Hall 'I -4 2bw'
loop_
_atom_site_label
_atom_site_type_symbol
_atom_site_fract_x
_atom_site_fract_y
_atom_site_fract_z
K1 K 0.0000 0.0000 0.0000
Rb1 Rb 0.0042 0.7500 0.6250
F1 F 0.0000 0.0000 0.5000
```



No. 4
Computed, not measured: Ce3GeRu2 after structural relaxation at the PBE-GGA level of DFT.

**Electronic total energy**: -0.5300 Ry per atom
**DOS(E_F)**: 10.59 states/eV/f.u.
**E_form**: -0.3829 eV/atom

```
data_Ce3GeRu2
_chemical_formula_sum 'Ce12 Ge4 Ru8'
_cell_length_a 15.2865
_cell_length_b 4.5565
_cell_length_c 8.0310
_cell_angle_alpha 90.00
_cell_angle_beta 105.88
_cell_angle_gamma 90.00
_space_group_name_H-M_alt 'C 1 2/m 1'
_space_group_IT_number 12
_space_group_name_Hall '-C 2y'
loop_
_atom_site_label
_atom_site_type_symbol
_atom_site_fract_x
_atom_site_fract_y
_atom_site_fract_z
Ce1 Ce 0.0729 0.0000 0.2171
Ce2 Ce 0.1063 0.5000 0.8730
Ce3 Ce 0.2427 0.0000 0.6837
Ge1 Ge 0.0909 0.5000 0.4794
Ru1 Ru 0.0649 0.0000 0.6509
Ru2 Ru 0.1897 0.0000 0.0534
```



No. 5
Computed, not measured: LaPr5Nd2Y after structural relaxation at the PBE-GGA level of DFT.

**Electronic total energy**: -0.3470 Ry per atom
**DOS(E_F)**: 14.88 states/eV/f.u.
**E_form**: 0.2594 eV/atom

```
data_LaPr5Nd2Y
_chemical_formula_sum 'La4 Pr20 Nd8 Y4'
_cell_length_a 9.0730
_cell_length_b 9.0730
_cell_length_c 15.8461
_cell_angle_alpha 90.00
_cell_angle_beta 90.00
_cell_angle_gamma 90.00
_space_group_name_H-M_alt 'I 4/m c m'
_space_group_IT_number 140
_space_group_name_Hall '-I 4 2c'
loop_
_atom_site_label
_atom_site_type_symbol
_atom_site_fract_x
_atom_site_fract_y
_atom_site_fract_z
La1 La 0.0000 0.0000 0.2500
Pr1 Pr 0.0000 0.0000 0.0000
Pr2 Pr 0.2096 0.2904 0.1377
Nd1 Nd 0.1159 0.3841 0.5000
Y1 Y 0.0000 0.5000 0.2500
```



No. 6
Computed, not measured: ZnCrNi2 after structural relaxation at the PBE-GGA level of DFT.

**Electronic total energy**: -0.4132 Ry per atom
**DOS(E_F)**: 1.38 states/eV/f.u.
**E_form**: -0.0065 eV/atom

```
data_ZnCrNi2
_chemical_formula_sum 'Zn1 Cr1 Ni2'
_cell_length_a 3.8859
_cell_length_b 3.8859
_cell_length_c 3.2372
_cell_angle_alpha 90.00
_cell_angle_beta 90.00
_cell_angle_gamma 90.00
_space_group_name_H-M_alt 'P 4/m m m'
_space_group_IT_number 123
_space_group_name_Hall '-P 4 2'
loop_
_atom_site_label
_atom_site_type_symbol
_atom_site_fract_x
_atom_site_fract_y
_atom_site_fract_z
Zn1 Zn 0.0000 0.0000 0.0000
Cr1 Cr 0.5000 0.5000 0.0000
Ni1 Ni 0.0000 0.5000 0.5000
```



No. 7
Computed, not measured: V3RuN after structural relaxation at the PBE-GGA level of DFT.

**Electronic total energy**: -0.7026 Ry per atom
**Uncorrected formation energy**: -568 meV per atom
**DOS(E_F)**: 5.75 states/eV/f.u.

```
data_V3RuN
_chemical_formula_sum 'V3 Ru1 N1'
_cell_length_a 3.9216
_cell_length_b 3.9216
_cell_length_c 3.9216
_cell_angle_alpha 90.00
_cell_angle_beta 90.00
_cell_angle_gamma 90.00
_space_group_name_H-M_alt 'P m -3 m'
_space_group_IT_number 221
_space_group_name_Hall '-P 4 2 3'
loop_
_atom_site_label
_atom_site_type_symbol
_atom_site_fract_x
_atom_site_fract_y
_atom_site_fract_z
V1 V 0.0000 0.0000 0.5000
Ru1 Ru 0.5000 0.5000 0.5000
N1 N 0.0000 0.0000 0.0000
```



No. 8
Computed, not measured: CaSm2In after structural relaxation at the PBE-GGA level of DFT.

**Electronic total energy**: -0.2772 Ry per atom
**DOS(E_F)**: 4.12 states/eV/f.u.
**E_form**: -0.2269 eV/atom

```
data_CaSm2In
_chemical_formula_sum 'Ca1 Sm2 In1'
_cell_length_a 5.0157
_cell_length_b 5.0157
_cell_length_c 4.8856
_cell_angle_alpha 90.00
_cell_angle_beta 90.00
_cell_angle_gamma 90.00
_space_group_name_H-M_alt 'P 4/m m m'
_space_group_IT_number 123
_space_group_name_Hall '-P 4 2'
loop_
_atom_site_label
_atom_site_type_symbol
_atom_site_fract_x
_atom_site_fract_y
_atom_site_fract_z
Ca1 Ca 0.0000 0.0000 0.0000
Sm1 Sm 0.0000 0.5000 0.5000
In1 In 0.5000 0.5000 0.0000
```



No. 9
Computed, not measured: ZnSiSb2 after structural relaxation at the PBE-GGA level of DFT.

**Electronic total energy**: -0.2592 Ry per atom
**Uncorrected formation energy**: 209 meV per atom
**DOS(E_F)**: 1.58 states/eV/f.u.

```
data_ZnSiSb2
_chemical_formula_sum 'Zn1 Si1 Sb2'
_cell_length_a 4.1425
_cell_length_b 3.8853
_cell_length_c 5.6404
_cell_angle_alpha 90.00
_cell_angle_beta 91.39
_cell_angle_gamma 90.00
_space_group_name_H-M_alt 'P 1 2/m 1'
_space_group_IT_number 10
_space_group_name_Hall '-P 2y'
loop_
_atom_site_label
_atom_site_type_symbol
_atom_site_fract_x
_atom_site_fract_y
_atom_site_fract_z
Zn1 Zn 0.0000 0.0000 0.0000
Si1 Si 0.5000 0.5000 0.5000
Sb1 Sb 0.0000 0.0000 0.5000
Sb2 Sb 0.5000 0.5000 0.0000
```



No. 10
Computed, not measured: PmScInIr after structural relaxation at the PBE-GGA level of DFT.

**Electronic total energy**: -0.4517 Ry per atom
**DOS(E_F)**: 3.03 states/eV/f.u.
**E_form**: -0.4746 eV/atom

```
data_PmScInIr
_chemical_formula_sum 'Pm4 Sc4 In4 Ir4'
_cell_length_a 7.0881
_cell_length_b 7.0881
_cell_length_c 7.0881
_cell_angle_alpha 90.00
_cell_angle_beta 90.00
_cell_angle_gamma 90.00
_space_group_name_H-M_alt 'F -4 3 m'
_space_group_IT_number 216
_space_group_name_Hall 'F -4 2 3'
loop_
_atom_site_label
_atom_site_type_symbol
_atom_site_fract_x
_atom_site_fract_y
_atom_site_fract_z
Pm1 Pm 0.0000 0.0000 0.0000
Sc1 Sc 0.0000 0.0000 0.5000
In1 In 0.2500 0.2500 0.7500
Ir1 Ir 0.2500 0.2500 0.2500
```



No. 11
Computed, not measured: Tb4Dy3Tl2 after structural relaxation at the PBE-GGA level of DFT.

**Electronic total energy**: -0.3142 Ry per atom
**DOS(E_F)**: 9.34 states/eV/f.u.
**E_form**: -0.1574 eV/atom

```
data_Tb4Dy3Tl2
_chemical_formula_sum 'Tb8 Dy6 Tl4'
_cell_length_a 12.1434
_cell_length_b 5.4009
_cell_length_c 10.2107
_cell_angle_alpha 90.00
_cell_angle_beta 125.94
_cell_angle_gamma 90.00
_space_group_name_H-M_alt 'C 1 2/m 1'
_space_group_IT_number 12
_space_group_name_Hall '-C 2y'
loop_
_atom_site_label
_atom_site_type_symbol
_atom_site_fract_x
_atom_site_fract_y
_atom_site_fract_z
Tb1 Tb 0.0983 0.0000 0.4278
Tb2 Tb 0.2319 0.5000 0.0813
Dy1 Dy 0.0000 0.0000 0.0000
Dy2 Dy 0.1454 0.5000 0.6790
Tl1 Tl 0.0855 0.5000 0.2544
```



No. 12
Computed, not measured: BaCu13 after structural relaxation at the PBE-GGA level of DFT.

**Electronic total energy**: -0.2905 Ry per atom
**DOS(E_F)**: 6.72 states/eV/f.u.
**E_form**: -0.0121 eV/atom

```
data_BaCu13
_chemical_formula_sum 'Ba8 Cu104'
_cell_length_a 11.7553
_cell_length_b 11.7553
_cell_length_c 11.7553
_cell_angle_alpha 90.00
_cell_angle_beta 90.00
_cell_angle_gamma 90.00
_space_group_name_H-M_alt 'F m -3 c'
_space_group_IT_number 226
_space_group_name_Hall '-F 4a 2 3'
loop_
_atom_site_label
_atom_site_type_symbol
_atom_site_fract_x
_atom_site_fract_y
_atom_site_fract_z
Ba1 Ba 0.2500 0.2500 0.2500
Cu1 Cu 0.0000 0.0000 0.0000
Cu2 Cu 0.0000 0.1143 0.1797
```